(1)
## La3PtCl (PBE)

Data for La3PtCl after structural relaxation.

a = 5.317 Å, b = 5.317 Å, c = 5.317 Å
α = 90.00°, β = 90.00°, γ = 90.00°
Fractional positions:
La 0.000 0.000 0.500
Cl 0.000 0.000 0.000
La 0.500 0.000 0.000
La 0.000 0.500 0.000
Pt 0.500 0.500 0.500

Calculated values
**Size of the total moment**: 0.000 μB/atom
**Total energy**: -5.05 eV/atom

(2)
## MgTaNiPb (PBE)

Data for MgTaNiPb after structural relaxation.

a = 4.702 Å, b = 4.702 Å, c = 4.702 Å
α = 60.00°, β = 60.00°, γ = 60.00°
Fractional positions:
Ta 0.250 0.250 0.250
Mg 0.500 0.500 0.500
Ni 0.750 0.750 0.750
Pb 0.000 0.000 0.000

Calculated values
**Size of the total moment**: 0.308 μB/atom
**Offset from the most stable computed form**: 2 meV/atom

(3)
## PrScGa (PBE)

Data for PrScGa after structural relaxation.

a = 4.970 Å, b = 4.970 Å, c = 4.970 Å
α = 60.00°, β = 60.00°, γ = 60.00°
Fractional positions:
Sc 0.750 0.750 0.750
Ga 0.250 0.250 0.250
Pr 0.000 0.000 0.000

Calculated values
**Size of the total moment**: 0.005 μB/atom
**Offset from the most stable computed form**: 153 meV/atom

(4)
## PaBiAsO (PBE)

Data for PaBiAsO after structural relaxation.

a = 4.202 Å, b = 4.202 Å, c = 9.993 Å
α = 90.00°, β = 90.00°, γ = 90.05°
Each line ends with the local moment (μB).
Fractional positions:
O 0.250 0.250 0.000  -0.01
Pa 0.250 0.750 0.124  1.04
Bi 0.250 0.250 0.500  0.00
As 0.750 0.250 0.246  -0.02
Pa 0.750 0.250 0.876  1.04
As 0.250 0.750 0.754  -0.02
Bi 0.750 0.750 0.500  0.00
O 0.750 0.750 0.000  -0.01

Calculated values
**Size of the total moment**: 0.252 μB/atom
**Offset from the most stable computed form**: 0 meV/atom

(5)
## RbPuAgS3 (PBE)

Data for RbPuAgS3 after structural relaxation.

a = 7.648 Å, b = 7.648 Å, c = 10.409 Å
α = 90.00°, β = 90.00°, γ = 148.77°
Each line ends with the local moment (μB).
Fractional positions:
Ag 0.042 0.958 0.750  -0.07
S 0.881 0.119 0.462  -0.15
S 0.881 0.119 0.038  -0.15
Rb 0.241 0.759 0.250  0.00
Rb 0.759 0.241 0.750  0.00
S 0.119 0.881 0.538  -0.15
S 0.119 0.881 0.962  -0.15
Pu 0.500 0.500 0.500  4.60
Ag 0.958 0.042 0.250  -0.07
Pu 0.500 0.500 0.000  4.61
S 0.440 0.560 0.750  -0.14
S 0.560 0.440 0.250  -0.14

Calculated values
**Size of the total moment**: 0.666 μB/atom
**Total energy**: -6.23 eV/atom

(6)
## Y2Mo4S3N3 (PBE)

Data for Y2Mo4S3N3 after structural relaxation.

a = 5.843 Å, b = 5.843 Å, c = 12.617 Å
α = 107.06°, β = 107.06°, γ = 59.97°
Fractional positions:
S 0.460 0.175 0.231
Mo 0.744 0.869 0.075
N 0.160 0.666 0.491
Mo 0.964 0.844 0.898
Mo 0.869 0.744 0.575
Y 0.615 0.462 0.891
Mo 0.036 0.156 0.102
S 0.825 0.540 0.269
N 0.500 0.000 0.500
Mo 0.156 0.036 0.602
S 0.175 0.460 0.731
S 0.068 0.932 0.250
N 0.334 0.840 0.009
Y 0.385 0.538 0.109
Mo 0.844 0.964 0.398
N 0.666 0.160 0.991
S 0.540 0.825 0.769
Mo 0.256 0.131 0.925
N 0.840 0.334 0.509
N 0.000 0.500 0.000
S 0.932 0.068 0.750
Y 0.538 0.385 0.609
Mo 0.131 0.256 0.425
Y 0.462 0.615 0.391

Calculated values
**Size of the total moment**: 0.001 μB/atom
**Total energy**: -8.55 eV/atom

(7)
## Dy4TlSnC2 (PBE)

Data for Dy4TlSnC2 after structural relaxation.

a = 3.611 Å, b = 3.611 Å, c = 16.108 Å
α = 90.00°, β = 90.00°, γ = 120.00°
Each line ends with the local moment (μB).
Fractional positions:
C 0.333 0.667 0.248  0.00
Tl 0.667 0.333 0.500  0.03
C 0.333 0.667 0.752  0.00
Dy 0.000 0.000 0.332  0.05
Dy 0.667 0.333 0.836  0.01
Sn 0.000 0.000 0.000  0.00
Dy 0.000 0.000 0.668  0.05
Dy 0.667 0.333 0.164  0.01

Calculated values
**Size of the total moment**: 0.028 μB/atom
**Total energy**: -5.85 eV/atom

(8)
## DyYGa4Ag2 (PBE)

Data for DyYGa4Ag2 after structural relaxation.

a = 6.637 Å, b = 5.711 Å, c = 5.711 Å
α = 46.83°, β = 90.00°, γ = 90.00°
Fractional positions:
Ga 0.199 0.882 0.882
Ag 0.500 0.700 0.700
Dy 0.500 0.407 0.407
Ag 0.000 0.300 0.300
Ga 0.801 0.882 0.882
Y 0.000 0.593 0.593
Ga 0.699 0.118 0.118
Ga 0.301 0.118 0.118

Calculated values
**Size of the total moment**: 0.000 μB/atom
**Total energy**: -4.08 eV/atom

(9)
## YTlHgS3 (PBE)

Data for YTlHgS3 after structural relaxation.

a = 8.044 Å, b = 4.383 Å, c = 16.408 Å
α = 90.00°, β = 90.00°, γ = 90.00°
Fractional positions:
Tl 0.936 0.250 0.306
S 0.776 0.250 0.704
Y 0.273 0.250 0.963
S 0.276 0.250 0.796
Tl 0.564 0.750 0.806
S 0.724 0.750 0.204
S 0.375 0.750 0.047
S 0.998 0.750 0.923
S 0.002 0.250 0.077
Y 0.773 0.250 0.537
Tl 0.436 0.250 0.194
S 0.125 0.250 0.547
Hg 0.582 0.750 0.344
S 0.224 0.750 0.296
S 0.498 0.750 0.577
Y 0.227 0.750 0.463
Hg 0.918 0.250 0.844
Y 0.727 0.750 0.037
S 0.875 0.750 0.453
S 0.502 0.250 0.423
Hg 0.418 0.250 0.656
S 0.625 0.250 0.953
Tl 0.064 0.750 0.694
Hg 0.082 0.750 0.156

Calculated values
**Size of the total moment**: 0.000 μB/atom
**Offset from the most stable computed form**: 106 meV/atom

(10)
## LuZnCoAu (PBE)

Data for LuZnCoAu after structural relaxation.

a = 4.623 Å, b = 4.623 Å, c = 4.623 Å
α = 60.00°, β = 60.00°, γ = 60.00°
Each line ends with the local moment (μB).
Fractional positions:
Au 0.500 0.500 0.500  0.01
Co 0.750 0.750 0.750  1.46
Zn 0.000 0.000 0.000  -0.02
Lu 0.250 0.250 0.250  -0.02

Calculated values
**Size of the total moment**: 0.355 μB/atom
**Energy of formation**: -0.190 eV per atom
**Offset from the most stable computed form**: 102 meV/atom

(11)
## AlTl2Zn (PBE)

Data for AlTl2Zn after structural relaxation.

a = 5.188 Å, b = 5.188 Å, c = 5.188 Å
α = 60.00°, β = 60.00°, γ = 60.00°
Fractional positions:
Zn 0.500 0.500 0.500
Tl 0.250 0.250 0.250
Al 0.750 0.750 0.750
Tl 0.000 0.000 0.000

Calculated values
**Total energy**: -2.14 eV/atom

(12)
## YTmAu (PBE)

Data for YTmAu after structural relaxation.

a = 7.127 Å, b = 4.903 Å, c = 8.824 Å
α = 90.00°, β = 90.00°, γ = 90.00°
Fractional positions:
Y 0.985 0.750 0.677
Tm 0.852 0.750 0.079
Tm 0.148 0.250 0.921
Y 0.515 0.250 0.177
Au 0.252 0.750 0.101
Au 0.248 0.250 0.601
Au 0.752 0.750 0.399
Y 0.485 0.750 0.823
Au 0.748 0.250 0.899
Tm 0.648 0.250 0.579
Y 0.015 0.250 0.323
Tm 0.352 0.750 0.421

Calculated values
**Size of the total moment**: 0.003 μB/atom
**Energy of formation**: -0.668 eV per atom
**Offset from the most stable computed form**: 0 meV/atom

(13)
## HoErCF2 (PBE)

Data for HoErCF2 after structural relaxation.

a = 3.594 Å, b = 3.594 Å, c = 6.286 Å
α = 90.00°, β = 90.00°, γ = 120.00°
Fractional positions:
F 0.667 0.333 0.386
Er 0.667 0.333 0.788
C 0.000 0.000 0.999
F 0.333 0.667 0.617
Ho 0.333 0.667 0.211

Calculated values
**Size of the total moment**: 0.000 μB/atom
**Total energy**: -6.86 eV/atom

(14)
## LiLaNiSn (PBE)

Data for LiLaNiSn after structural relaxation.

a = 4.907 Å, b = 4.907 Å, c = 4.907 Å
α = 60.00°, β = 60.00°, γ = 60.00°
Fractional positions:
La 0.000 0.000 0.000
Li 0.750 0.750 0.750
Ni 0.500 0.500 0.500
Sn 0.250 0.250 0.250

Calculated values
**Size of the total moment**: 0.000 μB/atom
**Offset from the most stable computed form**: 323 meV/atom

(15)
## Sm2AgTe3 (PBE)

Data for Sm2AgTe3 after structural relaxation.

a = 11.254 Å, b = 4.252 Å, c = 14.715 Å
α = 90.00°, β = 90.00°, γ = 90.00°
Fractional positions:
Te 0.262 0.250 0.857
Te 0.047 0.250 0.101
Te 0.079 0.750 0.598
Te 0.762 0.250 0.643
Ag 0.238 0.250 0.226
Sm 0.232 0.750 0.024
Te 0.738 0.750 0.143
Sm 0.268 0.250 0.524
Sm 0.014 0.250 0.748
Sm 0.986 0.750 0.252
Ag 0.262 0.750 0.726
Sm 0.768 0.250 0.976
Sm 0.732 0.750 0.476
Te 0.453 0.750 0.601
Ag 0.762 0.750 0.774
Te 0.547 0.250 0.399
Te 0.421 0.250 0.098
Te 0.953 0.750 0.899
Sm 0.486 0.750 0.248
Ag 0.738 0.250 0.274
Te 0.579 0.750 0.902
Sm 0.514 0.250 0.752
Te 0.238 0.750 0.357
Te 0.921 0.250 0.402

Calculated values
**Size of the total moment**: 0.000 μB/atom
**Offset from the most stable computed form**: 0 meV/atom

(16)
## K3NbS4 (PBE)

Data for K3NbS4 after structural relaxation.

a = 9.338 Å, b = 10.772 Å, c = 9.515 Å
α = 90.00°, β = 90.00°, γ = 90.00°
Fractional positions:
S 0.692 0.750 0.747
S 0.308 0.250 0.253
K 0.443 0.955 0.788
S 0.665 0.073 0.552
S 0.490 0.750 0.087
Nb 0.285 0.250 0.013
K 0.557 0.045 0.212
S 0.165 0.427 0.948
S 0.510 0.250 0.913
S 0.835 0.573 0.052
K 0.634 0.750 0.422
Nb 0.785 0.250 0.487
S 0.010 0.250 0.587
K 0.134 0.750 0.078
K 0.943 0.955 0.712
Nb 0.215 0.750 0.513
K 0.443 0.545 0.788
K 0.866 0.250 0.922
S 0.665 0.427 0.552
S 0.335 0.573 0.448
S 0.192 0.750 0.753
S 0.835 0.927 0.052
K 0.557 0.455 0.212
Nb 0.715 0.750 0.987
S 0.990 0.750 0.413
K 0.057 0.045 0.288
K 0.366 0.250 0.578
S 0.808 0.250 0.247
K 0.943 0.545 0.712
K 0.057 0.455 0.288
S 0.335 0.927 0.448
S 0.165 0.073 0.948

Calculated values
**Size of the total moment**: 0.000 μB/atom
**Total energy**: -4.97 eV/atom

(17)
## NdPdPb (PBE)

Data for NdPdPb after structural relaxation.

a = 5.270 Å, b = 5.270 Å, c = 6.308 Å
α = 90.00°, β = 90.00°, γ = 120.00°
Fractional positions:
Pb 0.333 0.667 0.250
Pb 0.667 0.333 0.750
Nd 0.333 0.667 0.750
Pd 0.000 0.000 0.000
Nd 0.667 0.333 0.250
Pd 0.000 0.000 0.500

Calculated values
**Size of the total moment**: 0.004 μB/atom
**Total energy**: -4.88 eV/atom

(18)
## PuInGe (PBE)

Data for PuInGe after structural relaxation.

a = 4.927 Å, b = 4.927 Å, c = 4.927 Å
α = 60.00°, β = 60.00°, γ = 60.00°
Each line ends with the local moment (μB).
Fractional positions:
Pu 0.000 0.000 0.000  5.22
Ge 0.750 0.750 0.750  -0.09
In 0.250 0.250 0.250  0.06

Calculated values
**Size of the total moment**: 1.755 μB/atom
**Offset from the most stable computed form**: 262 meV/atom

(19)
## LuTlCoTe3 (PBE)

Data for LuTlCoTe3 after structural relaxation.

a = 8.254 Å, b = 8.254 Å, c = 11.000 Å
α = 90.00°, β = 90.00°, γ = 28.97°
Each line ends with the local moment (μB).
Fractional positions:
Te 0.373 0.373 0.430  0.07
Te 0.074 0.074 0.250  0.08
Lu 0.000 0.000 0.500  0.03
Te 0.926 0.926 0.750  0.08
Co 0.524 0.524 0.750  1.75
Te 0.627 0.627 0.570  0.07
Co 0.476 0.476 0.250  1.75
Te 0.373 0.373 0.070  0.07
Tl 0.754 0.754 0.250  0.02
Tl 0.246 0.246 0.750  0.02
Te 0.627 0.627 0.930  0.07
Lu 0.000 0.000 0.000  0.03

Calculated values
**Size of the total moment**: 0.386 μB/atom
**Offset from the most stable computed form**: 22 meV/atom

(20)
## SrPmHg (PBE)

Data for SrPmHg after structural relaxation.

a = 5.253 Å, b = 5.253 Å, c = 5.253 Å
α = 60.00°, β = 60.00°, γ = 60.00°
Fractional positions:
Hg 0.250 0.250 0.250
Pm 0.000 0.000 0.000
Sr 0.750 0.750 0.750

Calculated values
**Size of the total moment**: 0.001 μB/atom
**Total energy**: -1.97 eV/atom